No. 1
Here is a relaxed BeGaFeNi crystal from the Open Quantum Materials Database. Energies are from GGA-PBE.

As for the symmetry: No. 216. The value obtained for the uncorrected energy is -20.9 eV per cell. Its energy above the most stable polymorph in this dataset is 13.8 kJ per mole of atoms.

Unit cell a=3.9947 b=3.9947 c=3.9947 alpha=60.00 beta=60.00 gamma=60.00
Atoms (fractional coordinates):
1 Be 0.2500 0.2500 0.2500
2 Fe 0.5000 0.5000 0.5000
3 Ga 0.0000 0.0000 0.0000
4 Ni 0.7500 0.7500 0.7500



No. 2
Here is a relaxed BeGaFeNi crystal from the Open Quantum Materials Database. Energies are from GGA-PBE.

As for the symmetry: No. 216. The value obtained for the uncorrected energy is -21.5 eV per cell. Its energy above the most stable polymorph in this dataset is 0.0 kJ per mole of atoms.

Unit cell a=3.9107 b=3.9107 c=3.9107 alpha=60.00 beta=60.00 gamma=60.00
Atoms (fractional coordinates):
1 Be 0.7500 0.7500 0.7500
2 Fe 0.0000 0.0000 0.0000
3 Ga 0.2500 0.2500 0.2500
4 Ni 0.5000 0.5000 0.5000



No. 3
Here is a relaxed BeZnGaFe crystal from the Open Quantum Materials Database. Energies are from GGA-PBE.

As for the symmetry: No. 216. The value obtained for the uncorrected energy is -15.8 eV per cell. Its energy above the most stable polymorph in this dataset is 0.4 kJ per mole of atoms.

Unit cell a=4.0541 b=4.0541 c=4.0541 alpha=60.00 beta=60.00 gamma=60.00
Atoms (fractional coordinates):
1 Be 0.2500 0.2500 0.2500
2 Fe 0.7500 0.7500 0.7500
3 Ga 0.0000 0.0000 0.0000
4 Zn 0.5000 0.5000 0.5000



No. 4
Here is a relaxed BeZnGaFe crystal from the Open Quantum Materials Database. Energies are from GGA-PBE.

As for the symmetry: No. 216. The value obtained for the uncorrected energy is -15.4 eV per cell. Its energy above the most stable polymorph in this dataset is 8.1 kJ per mole of atoms.

Unit cell a=4.0480 b=4.0480 c=4.0480 alpha=60.00 beta=60.00 gamma=60.00
Atoms (fractional coordinates):
1 Be 0.5000 0.5000 0.5000
2 Fe 0.7500 0.7500 0.7500
3 Ga 0.2500 0.2500 0.2500
4 Zn 0.0000 0.0000 0.0000



No. 5
Here is a relaxed BeZnGaFe crystal from the Open Quantum Materials Database. Energies are from GGA-PBE.

As for the symmetry: No. 216. The value obtained for the uncorrected energy is -15.8 eV per cell. Its energy above the most stable polymorph in this dataset is 0.0 kJ per mole of atoms.

Unit cell a=4.0403 b=4.0403 c=4.0403 alpha=60.00 beta=60.00 gamma=60.00
Atoms (fractional coordinates):
1 Be 0.5000 0.5000 0.5000
2 Fe 0.2500 0.2500 0.2500
3 Ga 0.0000 0.0000 0.0000
4 Zn 0.7500 0.7500 0.7500



No. 6
Here is a relaxed BeFe2Ge crystal from the Open Quantum Materials Database. Energies are from GGA-PBE.

As for the symmetry: No. 221. The value obtained for the uncorrected energy is -100.8 eV per cell.

Unit cell a=5.5208 b=5.5208 c=5.5208 alpha=90.00 beta=90.00 gamma=90.00
Atoms (fractional coordinates):
1 Be 0.5000 0.5000 0.0000
2 Be 0.5000 0.0000 0.5000
3 Be 0.0000 0.5000 0.5000
4 Be 0.5000 0.5000 0.5000
5 Fe 0.2589 0.2589 0.2589
6 Fe 0.7411 0.2589 0.2589
7 Fe 0.2589 0.7411 0.2589
8 Fe 0.7411 0.7411 0.2589
9 Fe 0.2589 0.2589 0.7411
10 Fe 0.7411 0.2589 0.7411
11 Fe 0.2589 0.7411 0.7411
12 Fe 0.7411 0.7411 0.7411
13 Ge 0.0000 0.0000 0.0000
14 Ge 0.5000 0.0000 0.0000
15 Ge 0.0000 0.5000 0.0000
16 Ge 0.0000 0.0000 0.5000



No. 7
Here is a relaxed Be2FeGe crystal from the Open Quantum Materials Database. Energies are from GGA-PBE.

As for the symmetry: No. 216. The value obtained for the uncorrected energy is -19.8 eV per cell.

Unit cell a=3.8808 b=3.8808 c=3.8808 alpha=60.00 beta=60.00 gamma=60.00
Atoms (fractional coordinates):
1 Be 0.5000 0.5000 0.5000
2 Be 0.7500 0.7500 0.7500
3 Fe 0.0000 0.0000 0.0000
4 Ge 0.2500 0.2500 0.2500



No. 8
Here is a relaxed BeFe2Ge crystal from the Open Quantum Materials Database. Energies are from GGA-PBE.

As for the symmetry: No. 216. The value obtained for the uncorrected energy is -25.0 eV per cell.

Unit cell a=3.9766 b=3.9766 c=3.9766 alpha=60.00 beta=60.00 gamma=60.00
Atoms (fractional coordinates):
1 Be 0.2500 0.2500 0.2500
2 Fe 0.0000 0.0000 0.0000
3 Fe 0.7500 0.7500 0.7500
4 Ge 0.5000 0.5000 0.5000



No. 9
Here is a relaxed Be2FeGe crystal from the Open Quantum Materials Database. Energies are from GGA-PBE.

As for the symmetry: No. 216. The value obtained for the uncorrected energy is -19.8 eV per cell.

Unit cell a=3.8823 b=3.8823 c=3.8823 alpha=60.00 beta=60.00 gamma=60.00
Atoms (fractional coordinates):
1 Be 0.0000 0.0000 0.0000
2 Be 0.7500 0.7500 0.7500
3 Fe 0.2500 0.2500 0.2500
4 Ge 0.5000 0.5000 0.5000



No. 10
Here is a relaxed BeFeHgGe crystal from the Open Quantum Materials Database. Energies are from GGA-PBE.

As for the symmetry: No. 216. The value obtained for the uncorrected energy is -14.7 eV per cell. Its energy above the most stable polymorph in this dataset is 0.0 kJ per mole of atoms.

Unit cell a=4.3843 b=4.3843 c=4.3843 alpha=60.00 beta=60.00 gamma=60.00
Atoms (fractional coordinates):
1 Be 0.2500 0.2500 0.2500
2 Fe 0.7500 0.7500 0.7500
3 Ge 0.0000 0.0000 0.0000
4 Hg 0.5000 0.5000 0.5000



No. 11
Here is a relaxed BeFeHgGe crystal from the Open Quantum Materials Database. Energies are from GGA-PBE.

As for the symmetry: No. 216. The value obtained for the uncorrected energy is -14.5 eV per cell. Its energy above the most stable polymorph in this dataset is 5.0 kJ per mole of atoms.

Unit cell a=4.3798 b=4.3798 c=4.3798 alpha=60.00 beta=60.00 gamma=60.00
Atoms (fractional coordinates):
1 Be 0.5000 0.5000 0.5000
2 Fe 0.7500 0.7500 0.7500
3 Ge 0.0000 0.0000 0.0000
4 Hg 0.2500 0.2500 0.2500



No. 12
Here is a relaxed MgBeFeGe crystal from the Open Quantum Materials Database. Energies are from GGA-PBE.

As for the symmetry: No. 216. The value obtained for the uncorrected energy is -17.4 eV per cell. Its energy above the most stable polymorph in this dataset is 0.0 kJ per mole of atoms.

Unit cell a=4.1406 b=4.1406 c=4.1406 alpha=60.00 beta=60.00 gamma=60.00
Atoms (fractional coordinates):
1 Be 0.7500 0.7500 0.7500
2 Fe 0.0000 0.0000 0.0000
3 Ge 0.2500 0.2500 0.2500
4 Mg 0.5000 0.5000 0.5000



No. 13
Here is a relaxed MgBeFeGe crystal from the Open Quantum Materials Database. Energies are from GGA-PBE.

As for the symmetry: No. 216. The value obtained for the uncorrected energy is -17.1 eV per cell. Its energy above the most stable polymorph in this dataset is 7.4 kJ per mole of atoms.

Unit cell a=4.1402 b=4.1402 c=4.1402 alpha=60.00 beta=60.00 gamma=60.00
Atoms (fractional coordinates):
1 Be 0.7500 0.7500 0.7500
2 Fe 0.2500 0.2500 0.2500
3 Ge 0.0000 0.0000 0.0000
4 Mg 0.5000 0.5000 0.5000



No. 14
Here is a relaxed BeFeGeMo crystal from the Open Quantum Materials Database. Energies are from GGA-PBE.

As for the symmetry: No. 216. The value obtained for the uncorrected energy is -26.8 eV per cell. Its energy above the most stable polymorph in this dataset is 4.1 kJ per mole of atoms.

Unit cell a=4.1096 b=4.1096 c=4.1096 alpha=60.00 beta=60.00 gamma=60.00
Atoms (fractional coordinates):
1 Be 0.2500 0.2500 0.2500
2 Fe 0.7500 0.7500 0.7500
3 Ge 0.0000 0.0000 0.0000
4 Mo 0.5000 0.5000 0.5000



No. 15
Here is a relaxed BeFeGeMo crystal from the Open Quantum Materials Database. Energies are from GGA-PBE.

As for the symmetry: No. 216. The value obtained for the uncorrected energy is -27.0 eV per cell. Its energy above the most stable polymorph in this dataset is 0.0 kJ per mole of atoms.

Unit cell a=4.1226 b=4.1226 c=4.1226 alpha=60.00 beta=60.00 gamma=60.00
Atoms (fractional coordinates):
1 Be 0.5000 0.5000 0.5000
2 Fe 0.7500 0.7500 0.7500
3 Ge 0.0000 0.0000 0.0000
4 Mo 0.2500 0.2500 0.2500



No. 16
Here is a relaxed BeFeNiGe crystal from the Open Quantum Materials Database. Energies are from GGA-PBE.

As for the symmetry: No. 216. The value obtained for the uncorrected energy is -22.0 eV per cell. Its energy above the most stable polymorph in this dataset is 27.7 kJ per mole of atoms.

Unit cell a=3.9456 b=3.9456 c=3.9456 alpha=60.00 beta=60.00 gamma=60.00
Atoms (fractional coordinates):
1 Be 0.7500 0.7500 0.7500
2 Fe 0.5000 0.5000 0.5000
3 Ge 0.0000 0.0000 0.0000
4 Ni 0.2500 0.2500 0.2500



No. 17
Here is a relaxed BeFeNiGe crystal from the Open Quantum Materials Database. Energies are from GGA-PBE.

As for the symmetry: No. 216. The value obtained for the uncorrected energy is -22.2 eV per cell. Its energy above the most stable polymorph in this dataset is 22.1 kJ per mole of atoms.

Unit cell a=3.9510 b=3.9510 c=3.9510 alpha=60.00 beta=60.00 gamma=60.00
Atoms (fractional coordinates):
1 Be 0.2500 0.2500 0.2500
2 Fe 0.7500 0.7500 0.7500
3 Ge 0.0000 0.0000 0.0000
4 Ni 0.5000 0.5000 0.5000



No. 18
Here is a relaxed BeFeNiGe crystal from the Open Quantum Materials Database. Energies are from GGA-PBE.

As for the symmetry: No. 216. The value obtained for the uncorrected energy is -23.1 eV per cell. Its energy above the most stable polymorph in this dataset is 0.0 kJ per mole of atoms.

Unit cell a=3.9118 b=3.9118 c=3.9118 alpha=60.00 beta=60.00 gamma=60.00
Atoms (fractional coordinates):
1 Be 0.5000 0.5000 0.5000
2 Fe 0.7500 0.7500 0.7500
3 Ge 0.0000 0.0000 0.0000
4 Ni 0.2500 0.2500 0.2500



No. 19
Here is a relaxed ScBeFeGe crystal from the Open Quantum Materials Database. Energies are from GGA-PBE.

As for the symmetry: No. 216. The value obtained for the uncorrected energy is -22.9 eV per cell. Its energy above the most stable polymorph in this dataset is 19.7 kJ per mole of atoms.

Unit cell a=4.2999 b=4.2999 c=4.2999 alpha=60.00 beta=60.00 gamma=60.00
Atoms (fractional coordinates):
1 Be 0.5000 0.5000 0.5000
2 Fe 0.7500 0.7500 0.7500
3 Ge 0.2500 0.2500 0.2500
4 Sc 0.0000 0.0000 0.0000



No. 20
Here is a relaxed ScBeFeGe crystal from the Open Quantum Materials Database. Energies are from GGA-PBE.

As for the symmetry: No. 216. The value obtained for the uncorrected energy is -23.4 eV per cell. Its energy above the most stable polymorph in this dataset is 7.0 kJ per mole of atoms.

Unit cell a=4.1978 b=4.1978 c=4.1978 alpha=60.00 beta=60.00 gamma=60.00
Atoms (fractional coordinates):
1 Be 0.2500 0.2500 0.2500
2 Fe 0.7500 0.7500 0.7500
3 Ge 0.0000 0.0000 0.0000
4 Sc 0.5000 0.5000 0.5000